(1)
Y5NpS6 | GGA-PBE | optimized geometry

Results
- uncorrected energy (Ha/atom) = -0.284
- formation energy without anion corrections (eV/atom) = -1.8946

Cell: 6.7946 6.7824 6.7863 Å, 60.02 80.38 70.46°
Closest atoms and distances in Å follow each position.
Element x y z (fractional)
Np: 0.0000 0.0000 0.0000  6 S 2.77-2.78
S: 0.7499 0.0839 0.3328  5 Y 2.75-2.77, 1 Np 2.77
S: 0.2510 0.2500 0.0000  5 Y 2.77-2.79, 1 Np 2.78
S: 0.7490 0.7500 0.0000  5 Y 2.77-2.79, 1 Np 2.78
S: 0.7499 0.4167 0.6672  5 Y 2.75-2.77, 1 Np 2.77
S: 0.2501 0.5833 0.3328  5 Y 2.75-2.77, 1 Np 2.77
S: 0.2501 0.9161 0.6672  5 Y 2.75-2.77, 1 Np 2.77
Y: 0.0000 0.3322 0.3356  6 S 2.76-2.78
Y: 0.5000 0.1690 0.6620  6 S 2.75-2.79
Y: 0.0000 0.6678 0.6644  6 S 2.76-2.78
Y: 0.5000 0.5000 0.0000  6 S 2.77
Y: 0.5000 0.8310 0.3380  6 S 2.75-2.79

(2)
Np3Zn5S12 | GGA-PBE | optimized geometry

Results
- uncorrected energy (Ha/atom) = -0.204
- formation energy without anion corrections (eV/atom) = -0.8021

Cell: 12.9064 12.9064 12.9064 Å, 109.47 109.47 109.47°
Closest atoms and distances in Å follow each position.
Element x y z (fractional)
Zn: 0.0000 0.0000 0.5000  6 S 2.49
Zn: 0.0000 0.5000 0.5000  6 S 2.49
Zn: 0.5000 0.5000 0.0000  6 S 2.49
Zn: 0.3750 0.2500 0.1250  4 S 2.31
Zn: 0.5000 0.0000 0.0000  6 S 2.49
Zn: 0.6250 0.8750 0.2500  4 S 2.31
Zn: 0.1250 0.3750 0.2500  4 S 2.31
Zn: 0.8750 0.2500 0.6250  4 S 2.31
Zn: 0.5000 0.0000 0.5000  6 S 2.49
Zn: 0.7500 0.6250 0.3750  4 S 2.31
Zn: 0.3750 0.1250 0.7500  4 S 2.31
Zn: 0.2500 0.8750 0.1250  4 S 2.31
Zn: 0.5000 0.5000 0.5000  6 S 2.49
Zn: 0.1250 0.7500 0.3750  4 S 2.31
Zn: 0.6250 0.7500 0.8750  4 S 2.31
Zn: 0.8750 0.6250 0.7500  4 S 2.31
Zn: 0.7500 0.1250 0.8750  4 S 2.31
Zn: 0.0000 0.0000 0.0000  6 S 2.49
Zn: 0.0000 0.5000 0.0000  6 S 2.49
Zn: 0.2500 0.3750 0.6250  4 S 2.31
S: 0.0412 0.4135 0.8236  2 Zn 2.31-2.49
S: 0.0412 0.6277 0.7176  2 Zn 2.31-2.49
S: 0.4101 0.1277 0.5865  2 Zn 2.31-2.49
S: 0.2824 0.4101 0.8236  2 Zn 2.31-2.49
S: 0.0865 0.1764 0.4588  2 Zn 2.31-2.49
S: 0.9101 0.0865 0.6277  2 Zn 2.31-2.49
S: 0.5865 0.6277 0.4101  2 Zn 2.31-2.49
S: 0.8236 0.9135 0.0412  2 Zn 2.31-2.49
S: 0.0899 0.1764 0.2176  2 Zn 2.31-2.49
S: 0.1277 0.7176 0.5412  2 Zn 2.31-2.49
S: 0.6277 0.5865 0.9101  2 Zn 2.31-2.49
S: 0.3236 0.5412 0.4135  2 Zn 2.31-2.49
S: 0.4101 0.2824 0.3236  2 Zn 2.31-2.49
S: 0.7176 0.5899 0.1764  2 Zn 2.31-2.49
S: 0.4588 0.7824 0.8723  2 Zn 2.31-2.49
S: 0.9588 0.3723 0.2824  2 Zn 2.31-2.49
S: 0.7824 0.4588 0.3723  2 Zn 2.31-2.49
S: 0.8236 0.9101 0.2824  2 Zn 2.31-2.49
S: 0.5899 0.8723 0.4135  2 Zn 2.31-2.49
S: 0.1764 0.0865 0.9588  2 Zn 2.31-2.49
S: 0.5865 0.9588 0.6764  2 Zn 2.31-2.49
S: 0.9588 0.5865 0.1764  2 Zn 2.31-2.49
S: 0.4135 0.0412 0.3236  2 Zn 2.31-2.49
S: 0.0899 0.9135 0.3723  2 Zn 2.31-2.49
S: 0.6277 0.0412 0.2176  2 Zn 2.31-2.49
S: 0.7824 0.3236 0.9101  2 Zn 2.31-2.49
S: 0.9101 0.8236 0.7824  2 Zn 2.31-2.49
S: 0.3723 0.9588 0.7824  2 Zn 2.31-2.49
S: 0.6764 0.2176 0.5899  2 Zn 2.31-2.49
S: 0.2824 0.8723 0.9588  2 Zn 2.31-2.49
S: 0.9135 0.0899 0.8723  2 Zn 2.31-2.49
S: 0.8723 0.5899 0.9135  2 Zn 2.31-2.49
S: 0.6764 0.4588 0.5865  2 Zn 2.31-2.49
S: 0.4588 0.6764 0.0865  2 Zn 2.31-2.49
S: 0.1277 0.4101 0.0865  2 Zn 2.31-2.49
S: 0.5899 0.7176 0.6764  2 Zn 2.31-2.49
S: 0.4135 0.3723 0.5899  2 Zn 2.31-2.49
S: 0.7176 0.1277 0.0412  2 Zn 2.31-2.49
S: 0.3723 0.4135 0.0899  2 Zn 2.31-2.49
S: 0.3236 0.7824 0.4101  2 Zn 2.31-2.49
S: 0.2176 0.5412 0.6277  2 Zn 2.31-2.49
S: 0.2176 0.6764 0.0899  2 Zn 2.31-2.49
S: 0.0865 0.9101 0.1277  2 Zn 2.31-2.49
S: 0.9135 0.8236 0.5412  2 Zn 2.31-2.49
S: 0.5412 0.3236 0.9135  2 Zn 2.31-2.49
S: 0.5412 0.2176 0.1277  2 Zn 2.31-2.49
S: 0.1764 0.0899 0.7176  2 Zn 2.31-2.49
S: 0.8723 0.2824 0.4588  2 Zn 2.31-2.49
Np: 0.2500 0.6250 0.8750  8 S 2.80-2.84
Np: 0.8750 0.1250 0.2500  8 S 2.80-2.84
Np: 0.8750 0.7500 0.1250  8 S 2.80-2.84
Np: 0.1250 0.8750 0.7500  8 S 2.80-2.84
Np: 0.7500 0.8750 0.6250  8 S 2.80-2.84
Np: 0.2500 0.1250 0.3750  8 S 2.80-2.84
Np: 0.6250 0.2500 0.3750  8 S 2.80-2.84
Np: 0.3750 0.6250 0.2500  8 S 2.80-2.84
Np: 0.1250 0.2500 0.8750  8 S 2.80-2.84
Np: 0.6250 0.3750 0.7500  8 S 2.80-2.84
Np: 0.3750 0.7500 0.6250  8 S 2.80-2.84
Np: 0.7500 0.3750 0.1250  8 S 2.80-2.84

(3)
Np3ZnS6 | GGA-PBE | optimized geometry

Results
- uncorrected energy (Ha/atom) = -0.284
- formation energy without anion corrections (eV/atom) = -1.2456

Cell: 6.4699 8.4168 8.4168 Å, 101.79 90.00 90.00°
Closest atoms and distances in Å follow each position.
Element x y z (fractional)
Np: 0.9784 0.0805 0.2807  7 S 2.70-2.90
Np: 0.3908 0.3964 0.6036  7 S 2.73-2.87
Np: 0.8908 0.6036 0.3964  7 S 2.73-2.87
Np: 0.4784 0.2807 0.0805  7 S 2.70-2.90
Np: 0.4784 0.9195 0.7193  7 S 2.70-2.90
Np: 0.9784 0.7193 0.9195  7 S 2.70-2.90
Zn: 0.5189 0.8010 0.1990  4 S 2.32-2.40
Zn: 0.0189 0.1990 0.8010  4 S 2.32-2.40
S: 0.7043 0.9047 0.4402  1 Zn 2.37
S: 0.6791 0.9663 0.0337  1 Zn 2.40
S: 0.6843 0.6306 0.6907  4 Np 2.70-2.78
S: 0.1791 0.0337 0.9663  1 Zn 2.40
S: 0.6843 0.3093 0.3694  4 Np 2.70-2.78
S: 0.1843 0.6907 0.6306  4 Np 2.70-2.78
S: 0.1843 0.3694 0.3093  4 Np 2.70-2.78
S: 0.2043 0.4402 0.9047  1 Zn 2.37
S: 0.1627 0.7776 0.2224  1 Zn 2.32
S: 0.7043 0.5598 0.0953  1 Zn 2.37
S: 0.2043 0.0953 0.5598  1 Zn 2.37
S: 0.6627 0.2224 0.7776  1 Zn 2.32

(4)
Zr2Np5S12 | GGA-PBE | optimized geometry

Results
- uncorrected energy (Ha/atom) = -0.303
- formation energy without anion corrections (eV/atom) = -1.3371

Cell: 7.5575 7.8639 9.5455 Å, 107.35 90.00 118.72°
Closest atoms and distances in Å follow each position.
Element x y z (fractional)
Np: 0.2598 0.5195 0.0257  6 S 2.68-2.85
Np: 0.3051 0.6102 0.6204  6 S 2.68-2.80
Np: 0.6949 0.3898 0.3796  6 S 2.68-2.80
Np: 0.0000 0.0000 0.5000  4 S 2.56
Np: 0.7402 0.4805 0.9743  6 S 2.68-2.85
Zr: 0.2490 0.0000 0.0000  6 S 2.57-2.65
Zr: 0.7510 0.0000 0.0000  6 S 2.57-2.65
S: 0.0484 0.0968 0.8400  2 Zr 2.65, 1 Np 2.85
S: 0.6270 0.7227 0.4786  3 Np 2.56-2.80
S: 0.9043 0.2773 0.5214  3 Np 2.56-2.80
S: 0.5417 0.6142 0.8447  1 Zr 2.57, 3 Np 2.68-2.77
S: 0.0957 0.7227 0.4786  3 Np 2.56-2.80
S: 0.4583 0.3858 0.1553  1 Zr 2.57, 3 Np 2.68-2.77
S: 0.9516 0.9032 0.1600  2 Zr 2.65, 1 Np 2.85
S: 0.4731 0.9462 0.1744  2 Zr 2.63, 1 Np 2.80
S: 0.0725 0.6142 0.8447  1 Zr 2.57, 3 Np 2.68-2.77
S: 0.3730 0.2773 0.5214  3 Np 2.56-2.80
S: 0.9275 0.3858 0.1553  1 Zr 2.57, 3 Np 2.68-2.77
S: 0.5269 0.0538 0.8256  2 Zr 2.63, 1 Np 2.80

(5)
Zr2Np2S7 | GGA-PBE | optimized geometry

Results
- uncorrected energy (Ha/atom) = -0.283
- formation energy without anion corrections (eV/atom) = -1.1737

Cell: 4.4823 4.4823 12.7383 Å, 90.00 90.00 90.00°
Closest atoms and distances in Å follow each position.
Element x y z (fractional)
S: 0.0000 0.0000 0.5000  4 Zr 2.73
S: 0.0000 0.0000 0.7510  2 Np 2.67, 2 Zr 2.78
S: 0.5000 0.5000 0.5000  4 Zr 2.73, 2 S 3.02
S: 0.5000 0.5000 0.2628  2 Zr 2.68, 2 Np 2.77
S: 0.0000 0.0000 0.2490  2 Np 2.67, 2 Zr 2.78
S: 0.5000 0.5000 0.7372  2 Zr 2.68, 2 Np 2.77
S: 0.5000 0.5000 0.0000  4 Np 2.82
Np: 0.5000 0.0000 0.8651  6 S 2.67-2.82
Np: 0.0000 0.5000 0.1349  6 S 2.67-2.82
Zr: 0.5000 0.0000 0.3779  8 S 2.68-2.78
Zr: 0.0000 0.5000 0.6221  8 S 2.68-2.78

(6)
ZrNp2S4 | GGA-PBE | optimized geometry

Results
- uncorrected energy (Ha/atom) = -0.322
- formation energy without anion corrections (eV/atom) = -1.4816

Cell: 3.7654 6.6518 6.6518 Å, 107.32 90.00 90.00°
Closest atoms and distances in Å follow each position.
Element x y z (fractional)
S: 0.5000 0.7639 0.7639  2 Zr 2.65, 2 Np 2.68
S: 0.5000 0.2361 0.2361  2 Zr 2.65, 2 Np 2.68
S: 0.0000 0.7507 0.2493  1 Zr 2.67, 4 Np 2.73
S: 0.0000 0.2493 0.7507  1 Zr 2.67, 4 Np 2.73
Zr: 0.0000 0.0000 0.0000  6 S 2.65-2.67
Np: 0.5000 0.5000 0.0000  6 S 2.68-2.73
Np: 0.5000 0.0000 0.5000  6 S 2.68-2.73

Number 1: spin magnetization 4.6 Bohr magnetons per cell, ρ 5685 kg/m3. Number 2: spin magnetization 27.7 Bohr magnetons per cell, ρ 5710 kg/m3. Number 3: spin magnetization 22.0 Bohr magnetons per cell, ρ 7171 kg/m3. Number 4: spin magnetization 19.0 Bohr magnetons per cell, ρ 6219 kg/m3. Number 5: spin magnetization 8.0 Bohr magnetons per cell, ρ 5716 kg/m3. Number 6: spin magnetization 7.9 Bohr magnetons per cell, ρ 7240 kg/m3.